First-principles (GGA-PBE) data for a geometry-optimized Pr2HgH structure, as listed in Alexandria.

The calculation puts the energy above the lowest structure with this stoichiometry at 1.04 eV per formula unit. The calculation puts the raw total energy at -3.43 eV/atom. The calculated density comes out at 8.68 g/cm³. For the calculated volume, the calculation gives 23.13 A^3/atom.

a = 3.4626 Å, b = 3.4626 Å, c = 7.7161 Å
α = 90.00°, β = 90.00°, γ = 90.00°
Closest atoms and distances in Å follow each position.
Space group P4/mmm (No. 123)
Asymmetric unit:
Pr1 0.0000 0.0000 0.2160 [2 per cell]  4 H 2.96, 4 Hg 3.29
Hg1 0.5000 0.5000 0.5000 [1 per cell]  8 Pr 3.29, 4 Hg 3.46
H1 0.5000 0.5000 0.0000 [1 per cell]  8 Pr 2.96



First-principles (GGA-PBE) data for a geometry-optimized PrHgH structure, as listed in Alexandria.

The calculation puts the energy above the lowest structure with this stoichiometry at 0.45 eV per formula unit. The calculation puts the raw total energy at -3.17 eV/atom. The calculated density comes out at 8.58 g/cm³. For the calculated volume, the calculation gives 22.09 A^3/atom.

a = 4.0003 Å, b = 4.0003 Å, c = 4.7816 Å
α = 90.00°, β = 90.00°, γ = 120.00°
Closest atoms and distances in Å follow each position.
Space group P-6m2 (No. 187)
Asymmetric unit:
Pr1 0.0000 0.0000 0.0000 [1 per cell]  3 H 2.31
Hg1 0.3333 0.6667 0.5000 [1 per cell]  6 Pr 3.32, 6 H 3.32
H1 0.6667 0.3333 0.0000 [1 per cell]  3 Pr 2.31



First-principles (GGA-PBE) data for a geometry-optimized Pr2HgH structure, as listed in Alexandria.

The calculation puts the energy above the lowest structure with this stoichiometry at 0.24 eV per formula unit. The calculation puts the raw total energy at -3.63 eV/atom. The calculated density comes out at 8.17 g/cm³. For the calculated volume, the calculation gives 24.55 A^3/atom.

a = 3.8087 Å, b = 3.8087 Å, c = 7.8162 Å
α = 90.00°, β = 90.00°, γ = 120.00°
Closest atoms and distances in Å follow each position.
Space group P-3m1 (No. 164)
Asymmetric unit:
Pr1 0.3333 0.6667 0.1844 [2 per cell]  3 H 2.63
Hg1 0.0000 0.0000 0.5000 [1 per cell]  6 Pr 3.30
H1 0.0000 0.0000 0.0000 [1 per cell]  6 Pr 2.63



First-principles (GGA-PBE) data for a geometry-optimized Pr2HgH structure, as listed in Alexandria.

The calculation puts the energy above the lowest structure with this stoichiometry at 0.26 eV per formula unit. The calculation puts the raw total energy at -3.62 eV/atom. The calculated density comes out at 8.25 g/cm³. For the calculated volume, the calculation gives 24.33 A^3/atom.

a = 3.7668 Å, b = 3.7668 Å, c = 23.7639 Å
α = 90.00°, β = 90.00°, γ = 120.00°
Closest atoms and distances in Å follow each position.
Space group R-3m (No. 166, hexagonal axes)
Asymmetric unit:
Pr1 0.0000 0.0000 0.2282 [6 per cell]  3 H 2.62
Hg1 0.0000 0.0000 0.0000 [3 per cell]  6 Pr 3.31
H1 0.0000 0.0000 0.5000 [3 per cell]  6 Pr 2.62